Compound: PuAl4Ag8
Source: the Alexandria database
Functional: PBE-GGA
Structure: optimized geometry

Values from the calculation:
- total energy (eV/atom) = -4.1131

Cell: 5.3850 7.1606 7.1606 Å, 81.87 67.91 67.91°
Element x y z (fractional)
Al (0.5000, 0.5000, 0.0000)
Al (0.0000, 0.5000, 0.0000)
Al (0.0000, 0.0000, 0.5000)
Al (0.5000, 0.0000, 0.5000)
Pu (0.0000, 0.0000, 0.0000)
Ag (0.7177, 0.7823, 0.7823)
Ag (0.2823, 0.2177, 0.2177)
Ag (0.0000, 0.6561, 0.3439)
Ag (0.5000, 0.2177, 0.7823)
Ag (0.6561, 0.3439, 0.3439)
Ag (0.0000, 0.3439, 0.6561)
Ag (0.5000, 0.7823, 0.2177)
Ag (0.3439, 0.6561, 0.6561)

Compound: LaSb2PbI
Source: the Alexandria database
Functional: PBE-GGA
Structure: optimized geometry

Values from the calculation:
- formation energy (no corrections) (eV/atom) = 0.0812

Cell: 6.1055 6.1055 6.0557 Å, 90.00 90.00 90.00°
Element x y z (fractional)
Pb (0.5000, 0.5000, 0.5000)
I (0.0000, 0.0000, 0.5000)
La (0.0000, 0.0000, 0.0000)
Sb (0.5000, 0.0000, 0.0000)
Sb (0.0000, 0.5000, 0.0000)

Compound: Ca2TiRe
Source: the Alexandria database
Functional: PBE-GGA
Structure: optimized geometry

Values from the calculation:
- polymorph energy (0 for the lowest one) (meV per atom) = 0

Cell: 10.9051 10.9051 8.0448 Å, 47.33 47.33 90.00°
Element x y z (fractional)
Ca (0.8750, 0.0339, 0.7500)
Ca (0.7839, 0.1250, 0.2500)
Ca (0.3750, 0.2161, 0.7500)
Ca (0.9661, 0.6250, 0.2500)
Re (0.7500, 0.2500, 0.5000)
Re (0.0000, 0.0000, 0.0000)
Ti (0.2500, 0.7500, 0.5000)
Ti (0.5000, 0.5000, 0.0000)

Compound: KTcB2
Source: the Alexandria database
Functional: PBE-GGA
Structure: optimized geometry

Values from the calculation:
- polymorph energy (0 for the lowest one) (meV per atom) = 1344

Cell: 4.2837 4.2837 4.2837 Å, 60.00 60.00 60.00°
Element x y z (fractional)
Tc (0.5000, 0.5000, 0.5000)
K (0.0000, 0.0000, 0.0000)
B (0.7500, 0.7500, 0.7500)
B (0.2500, 0.2500, 0.2500)

Compound: HfTi2MoN
Source: the Alexandria database
Functional: PBE-GGA
Structure: optimized geometry

Values from the calculation:
- polymorph energy (0 for the lowest one) (meV per atom) = 2400
- formation energy (no corrections) (eV/atom) = 1.6978

Cell: 4.5204 5.2469 4.5204 Å, 90.00 90.00 90.00°
Element x y z (fractional)
Mo (0.0000, 0.0000, 0.0000)
Hf (0.0000, 0.5000, 0.0000)
N (0.5000, 0.5000, 0.5000)
Ti (0.5000, 0.0000, 0.0000)
Ti (0.0000, 0.0000, 0.5000)

Compound: ZrReC
Source: the Alexandria database
Functional: PBE-GGA
Structure: optimized geometry

Values from the calculation:
- total energy (eV/atom) = -10.4148

Cell: 3.1067 5.5632 5.8370 Å, 117.60 105.43 90.00°
Element x y z (fractional)
C (0.2519, 0.7556, 0.5038)
C (0.7481, 0.2444, 0.4962)
Re (0.6414, 0.8138, 0.2828)
Re (0.3586, 0.1862, 0.7172)
Zr (0.8876, 0.7005, 0.7751)
Zr (0.1124, 0.2995, 0.2249)

Compound: LiTb2YAu4
Source: the Alexandria database
Functional: PBE-GGA
Structure: optimized geometry

Values from the calculation:
- total energy (eV/atom) = -4.6208

Cell: 5.0059 5.0059 8.7055 Å, 73.29 73.29 60.00°
Element x y z (fractional)
Au (0.1222, 0.1222, 0.6335)
Au (0.6288, 0.6288, 0.1136)
Au (0.3712, 0.3712, 0.8864)
Au (0.8778, 0.8778, 0.3665)
Y (0.0000, 0.0000, 0.0000)
Tb (0.2438, 0.2438, 0.2686)
Tb (0.7562, 0.7562, 0.7314)
Li (0.5000, 0.5000, 0.5000)

Compound: Hf2MoH4
Source: the Alexandria database
Functional: PBE-GGA
Structure: optimized geometry

Values from the calculation:
- polymorph energy (0 for the lowest one) (meV per atom) = 0

Cell: 3.4596 3.4596 6.2274 Å, 73.87 73.87 90.00°
Element x y z (fractional)
H (0.1618, 0.1618, 0.6765)
H (0.5000, 0.0000, 0.0000)
H (0.8382, 0.8382, 0.3235)
H (0.0000, 0.5000, 0.0000)
Mo (0.0000, 0.0000, 0.0000)
Hf (0.6590, 0.6590, 0.6820)
Hf (0.3410, 0.3410, 0.3180)

Compound: SrLa2Cd
Source: the Alexandria database
Functional: PBE-GGA
Structure: optimized geometry

Values from the calculation:
- total energy (eV/atom) = -3.2388

Cell: 3.8836 3.8836 9.7154 Å, 90.00 90.00 90.06°
Element x y z (fractional)
Sr (0.0000, 0.0000, 0.5418)
La (0.5000, 0.5000, 0.2207)
La (0.0000, 0.0000, 0.9708)
Cd (0.5000, 0.5000, 0.7666)

Compound: CdGaCoBi2
Source: the Alexandria database
Functional: PBE-GGA
Structure: optimized geometry

Values from the calculation:
- total energy (eV/atom) = -2.7276

Cell: 5.5151 4.9433 5.5151 Å, 90.00 90.00 90.00°
Element x y z (fractional)
Cd (0.0000, 0.5000, 0.0000)
Co (0.5000, 0.5000, 0.5000)
Ga (0.0000, 0.0000, 0.0000)
Bi (0.0000, 0.0000, 0.5000)
Bi (0.5000, 0.0000, 0.0000)

Compound: RbPPbS4
Source: the Alexandria database
Functional: PBE-GGA
Structure: optimized geometry

Values from the calculation:
- polymorph energy (0 for the lowest one) (meV per atom) = 0
- formation energy (no corrections) (eV/atom) = -0.6914

Cell: 6.6869 6.8691 17.4946 Å, 90.00 90.00 90.00°
Element x y z (fractional)
S (0.4687, 0.4954, 0.5892)
S (0.8996, 0.2541, 0.6283)
S (0.3562, 0.9533, 0.7297)
S (0.3851, 0.7654, 0.3607)
S (0.1438, 0.0467, 0.2297)
S (0.5313, 0.9954, 0.9108)
S (0.6438, 0.4533, 0.7703)
S (0.8562, 0.5467, 0.2703)
S (0.8851, 0.7346, 0.6393)
S (0.3996, 0.2459, 0.3717)
S (0.6149, 0.2654, 0.1393)
S (0.9687, 0.0046, 0.4108)
S (0.1004, 0.7541, 0.8717)
S (0.1149, 0.2346, 0.8607)
S (0.6004, 0.7459, 0.1283)
S (0.0313, 0.5046, 0.0892)
Rb (0.5149, 0.9965, 0.5390)
Rb (0.0149, 0.5035, 0.4610)
Rb (0.9851, 0.0035, 0.0390)
Rb (0.4851, 0.4965, 0.9610)
P (0.2202, 0.0145, 0.3440)
P (0.7202, 0.4855, 0.6560)
P (0.2798, 0.9855, 0.8440)
P (0.7798, 0.5145, 0.1560)
Pb (0.7817, 0.0365, 0.7715)
Pb (0.7183, 0.9635, 0.2715)
Pb (0.2817, 0.4635, 0.2285)
Pb (0.2183, 0.5365, 0.7285)

Compound: AcTlTe2
Source: the Alexandria database
Functional: PBE-GGA
Structure: optimized geometry

Values from the calculation:
- polymorph energy (0 for the lowest one) (meV per atom) = 132
- formation energy (no corrections) (eV/atom) = -1.0147

Cell: 4.1402 4.1402 8.2702 Å, 90.00 90.00 90.00°
Element x y z (fractional)
Te (0.0000, 0.0000, 0.7293)
Te (0.0000, 0.0000, 0.2707)
Ac (0.5000, 0.5000, 0.5000)
Tl (0.5000, 0.5000, 0.0000)

Compound: KLiS
Source: the Alexandria database
Functional: PBE-GGA
Structure: optimized geometry

Values from the calculation:
- formation energy (no corrections) (eV/atom) = -1.2272

Cell: 4.3297 4.3297 7.0329 Å, 90.00 90.00 90.00°
Element x y z (fractional)
K (0.5000, 0.0000, 0.6601)
K (0.0000, 0.5000, 0.3399)
S (0.0000, 0.5000, 0.8122)
S (0.5000, 0.0000, 0.1878)
Li (0.5000, 0.5000, 0.0000)
Li (0.0000, 0.0000, 0.0000)

Compound: CdHg2Se
Source: the Alexandria database
Functional: PBE-GGA
Structure: optimized geometry

Values from the calculation:
- formation energy (no corrections) (eV/atom) = -0.0821

Cell: 7.0753 7.0753 7.0753 Å, 146.51 146.51 48.09°
Element x y z (fractional)
Se (0.2500, 0.7500, 0.5000)
Hg (0.5000, 0.5000, 0.0000)
Hg (0.0000, 0.0000, 0.0000)
Cd (0.7500, 0.2500, 0.5000)

Compound: CSe2Br2
Source: the Alexandria database
Functional: PBE-GGA
Structure: optimized geometry

Values from the calculation:
- polymorph energy (0 for the lowest one) (meV per atom) = 0
- formation energy (no corrections) (eV/atom) = 0.4687

Cell: 6.0949 6.0949 6.2213 Å, 60.67 60.67 90.00°
Element x y z (fractional)
C (0.0000, 0.0000, 0.0000)
Se (0.8097, 0.8097, 0.3806)
Se (0.1903, 0.1903, 0.6194)
Br (0.2500, 0.7500, 0.5000)
Br (0.7500, 0.2500, 0.5000)

Compound: PuSiRh2
Source: the Alexandria database
Functional: PBE-GGA
Structure: optimized geometry

Values from the calculation:
- formation energy (no corrections) (eV/atom) = -0.6979

Cell: 3.9182 3.9182 9.3622 Å, 90.00 90.00 90.00°
Element x y z (fractional)
Si (0.5000, 0.0000, 0.6443)
Si (0.0000, 0.5000, 0.3557)
Pu (0.5000, 0.0000, 0.2012)
Pu (0.0000, 0.5000, 0.7988)
Rh (0.0000, 0.5000, 0.1005)
Rh (0.5000, 0.5000, 0.5000)
Rh (0.5000, 0.0000, 0.8995)
Rh (0.0000, 0.0000, 0.5000)

Compound: CaSc2HgPb
Source: the Alexandria database
Functional: PBE-GGA
Structure: optimized geometry

Values from the calculation:
- total energy (eV/atom) = -3.4579

Cell: 5.3694 5.7938 5.3694 Å, 90.00 90.00 90.00°
Element x y z (fractional)
Sc (0.5000, 0.0000, 0.0000)
Sc (0.0000, 0.0000, 0.5000)
Pb (0.0000, 0.5000, 0.0000)
Ca (0.5000, 0.5000, 0.5000)
Hg (0.0000, 0.0000, 0.0000)

Compound: PaGaTc4
Source: the Alexandria database
Functional: PBE-GGA
Structure: optimized geometry

Values from the calculation:
- total energy (eV/atom) = -8.9404

Cell: 5.2908 5.2908 5.2908 Å, 60.00 60.00 60.00°
Element x y z (fractional)
Tc (0.6268, 0.6268, 0.1196)
Tc (0.1196, 0.6268, 0.6268)
Tc (0.6268, 0.6268, 0.6268)
Tc (0.6268, 0.1196, 0.6268)
Ga (0.0000, 0.0000, 0.0000)
Pa (0.2500, 0.2500, 0.2500)

Compound: PuZrScTi
Source: the Alexandria database
Functional: PBE-GGA
Structure: optimized geometry

Values from the calculation:
- total energy (eV/atom) = -9.0641

Cell: 4.9953 4.9953 4.9953 Å, 60.00 60.00 60.00°
Element x y z (fractional)
Pu (0.5000, 0.5000, 0.5000)
Ti (0.2500, 0.2500, 0.2500)
Zr (0.7500, 0.7500, 0.7500)
Sc (0.0000, 0.0000, 0.0000)

Compound: InSn2Pd
Source: the Alexandria database
Functional: PBE-GGA
Structure: optimized geometry

Values from the calculation:
- total energy (eV/atom) = -4.1508

Cell: 3.2528 3.2528 10.5932 Å, 81.17 81.17 60.00°
Element x y z (fractional)
Pd (0.5000, 0.5000, 0.5000)
Sn (0.0992, 0.0992, 0.7024)
Sn (0.9008, 0.9008, 0.2976)
In (0.0000, 0.0000, 0.0000)

Here are the calculated magnetization numbers, same order: 5.812 0.000 0.000 1.143 0.015 0.000 0.000 0.000 0.000 1.864 0.000 0.000 0.000 0.000 0.000 4.699 0.000 0.000 6.566 0.000 (μB per formula unit).